(1)
# Rb3Tm2RhO6, relaxed, DFT PBE-GGA
data_Rb3Tm2RhO6
_cell_length_a 5.8270
_cell_length_b 5.8270
_cell_length_c 6.7483
_cell_angle_alpha 98.25
_cell_angle_beta 98.25
_cell_angle_gamma 119.97
_space_group_name_H-M_alt 'P 1'
_space_group_IT_number 1
loop_
_space_group_symop_operation_xyz
'x,y,z'
loop_
_atom_site_label
_atom_site_type_symbol
_atom_site_fract_x
_atom_site_fract_y
_atom_site_fract_z
Rb1 Rb 0.1632 0.8368 0.5000
Rb2 Rb 0.8368 0.1632 0.5000
Rb3 Rb 0.5000 0.5000 0.5000
Tm1 Tm 0.3331 0.6669 0.0000
Tm2 Tm 0.6669 0.3331 0.0000
Rh1 Rh 0.0000 0.0000 0.0000
O1 O 0.9421 0.6182 0.8261
O2 O 0.7338 0.7338 0.1738
O3 O 0.0579 0.3818 0.1739
O4 O 0.6182 0.9421 0.8261
O5 O 0.2662 0.2662 0.8262
O6 O 0.3818 0.0579 0.1739
# Symmetry   C2/m
# ΔE_f (raw)   -2.098 eV/atom
# D(E_F)   0.0 states/eV per cell
# DFT total energy   -6.18 eV per atom

(2)
# Rb2TmRhO4, relaxed, DFT PBE-GGA
data_Rb2TmRhO4
_cell_length_a 3.3822
_cell_length_b 5.6604
_cell_length_c 6.7156
_cell_angle_alpha 107.41
_cell_angle_beta 90.00
_cell_angle_gamma 90.00
_space_group_name_H-M_alt 'P 1'
_space_group_IT_number 1
loop_
_space_group_symop_operation_xyz
'x,y,z'
loop_
_atom_site_label
_atom_site_type_symbol
_atom_site_fract_x
_atom_site_fract_y
_atom_site_fract_z
Rb1 Rb 0.5000 0.0000 0.5000
Rb2 Rb 0.0000 0.5000 0.5000
Tm1 Tm 0.5000 0.5000 0.0000
Rh1 Rh 0.0000 0.0000 0.0000
O1 O 0.5000 0.2069 0.1676
O2 O 0.5000 0.7931 0.8324
O3 O 0.0000 0.2682 0.8223
O4 O 0.0000 0.7318 0.1777
# Symmetry   P2/m
# ΔE_f (raw)   -1.793 eV/atom
# DFT total energy   -5.99 eV per atom

(3)
# Rb2URhO6, relaxed, DFT PBE-GGA
data_Rb2URhO6
_cell_length_a 5.8157
_cell_length_b 5.8157
_cell_length_c 6.7721
_cell_angle_alpha 64.56
_cell_angle_beta 64.56
_cell_angle_gamma 90.00
_space_group_name_H-M_alt 'P 1'
_space_group_IT_number 1
loop_
_space_group_symop_operation_xyz
'x,y,z'
loop_
_atom_site_label
_atom_site_type_symbol
_atom_site_fract_x
_atom_site_fract_y
_atom_site_fract_z
Rb1 Rb 0.7500 0.2500 0.5000
Rb2 Rb 0.2500 0.7500 0.5000
U1 U 0.0000 0.0000 0.0000
Rh1 Rh 0.5000 0.5000 0.0000
O1 O 0.1770 0.1770 0.6460
O2 O 0.7330 0.7328 0.0000
O3 O 0.2672 0.7329 0.0000
O4 O 0.7328 0.2671 0.0000
O5 O 0.2670 0.2672 0.0000
O6 O 0.8230 0.8230 0.3540
# Symmetry   I4/mmm
# ΔE_f (raw)   -1.948 eV/atom
# D(E_F)   0.9 states/eV per cell
# DFT total energy   -6.98 eV per atom

(4)
# RbU2RhO8, relaxed, DFT PBE-GGA
data_RbU2RhO8
_cell_length_a 5.1163
_cell_length_b 5.1147
_cell_length_c 7.1118
_cell_angle_alpha 85.27
_cell_angle_beta 85.31
_cell_angle_gamma 85.15
_space_group_name_H-M_alt 'P 1'
_space_group_IT_number 1
loop_
_space_group_symop_operation_xyz
'x,y,z'
loop_
_atom_site_label
_atom_site_type_symbol
_atom_site_fract_x
_atom_site_fract_y
_atom_site_fract_z
Rb1 Rb 0.0000 0.0000 0.5000
U1 U 0.4786 0.4787 0.7553
U2 U 0.5214 0.5213 0.2447
Rh1 Rh 0.0000 0.0000 0.0000
O1 O 0.2097 0.7680 0.1921
O2 O 0.7178 0.7188 0.0254
O3 O 0.7691 0.2106 0.1918
O4 O 0.7903 0.2320 0.8079
O5 O 0.2822 0.2812 0.9746
O6 O 0.2309 0.7894 0.8082
O7 O 0.6554 0.6573 0.5154
O8 O 0.3446 0.3427 0.4846
# Symmetry   P-1
# ΔE_f (raw)   -2.285 eV/atom
# DFT total energy   -8.16 eV per atom

(5)
# Rb2URh3O12, relaxed, DFT PBE-GGA
data_Rb2URh3O12
_cell_length_a 7.5587
_cell_length_b 7.5587
_cell_length_c 7.5587
_cell_angle_alpha 57.05
_cell_angle_beta 57.05
_cell_angle_gamma 57.05
_space_group_name_H-M_alt 'P 1'
_space_group_IT_number 1
loop_
_space_group_symop_operation_xyz
'x,y,z'
loop_
_atom_site_label
_atom_site_type_symbol
_atom_site_fract_x
_atom_site_fract_y
_atom_site_fract_z
Rb1 Rb 0.6144 0.6144 0.6144
Rb2 Rb 0.3856 0.3856 0.3856
U1 U 0.0000 0.0000 0.0000
Rh1 Rh 0.5000 0.0000 0.0000
Rh2 Rh 0.0000 0.5000 0.0000
Rh3 Rh 0.0000 0.0000 0.5000
O1 O 0.3160 0.3160 0.9205
O2 O 0.9302 0.9302 0.3306
O3 O 0.3306 0.9302 0.9302
O4 O 0.9205 0.3160 0.3160
O5 O 0.9302 0.3306 0.9302
O6 O 0.3160 0.9205 0.3160
O7 O 0.6840 0.6840 0.0795
O8 O 0.0698 0.0698 0.6694
O9 O 0.6694 0.0698 0.0698
O10 O 0.0795 0.6840 0.6840
O11 O 0.0698 0.6694 0.0698
O12 O 0.6840 0.0795 0.6840
# Symmetry   R-3m
# ΔE_f (raw)   -1.300 eV/atom
# D(E_F)   16.4 states/eV per cell
# DFT total energy   -6.57 eV per atom